Density functional theory data (PBE) for a relaxed AcHgGe2 crystal.

Unit cell a=4.7769 b=4.7769 c=4.4798 alpha=90.00 beta=90.00 gamma=90.00
With the nearest neighbours (Å) after each atom.
Space group P4/mmm (No. 123)
Asymmetric unit:
Ac: 0.0000 0.0000 0.0000 (multiplicity 1)  8 Ge 3.27, 4 Hg 3.38
Hg: 0.5000 0.5000 0.0000 (multiplicity 1)  8 Ge 3.27, 4 Ac 3.38
Ge: 0.0000 0.5000 0.5000 (multiplicity 2)  4 Ac 3.27, 4 Hg 3.27, 4 Ge 3.38

Values from the calculation:
Formation energy from the elements in kJ/mol of atoms: -30.4
Energy relative to the lowest polymorph listed for this composition in eV/atom: 0.0943